Entry 1:
! Sc3AsS (PBE, optimized geometry); values from VASP
! ΔE to the lowest computed polymorph	0.553	eV per atom
! D(E_F)	1.6266	states/eV per atom
&SYSTEM
  ibrav = 0, nat = 5, ntyp = 3
/
ATOMIC_SPECIES
Sc 44.96 Sc.upf
As 74.92 As.upf
S 32.06 S.upf
CELL_PARAMETERS angstrom
4.764 0.000 0.000
0.000 4.764 0.000
0.000 0.000 4.764
ATOMIC_POSITIONS crystal
Sc 0.000 0.500 0.000
Sc 0.000 0.000 0.500
Sc 0.500 0.000 0.000
As 0.500 0.500 0.500
S 0.000 0.000 0.000

Entry 2:
! Sc3AsS2 (PBE, optimized geometry); values from VASP
! ΔE to the lowest computed polymorph	0.691	eV per atom
! D(E_F)	0.5832	states/eV per atom
&SYSTEM
  ibrav = 0, nat = 12, ntyp = 3
/
ATOMIC_SPECIES
Sc 44.96 Sc.upf
As 74.92 As.upf
S 32.06 S.upf
CELL_PARAMETERS angstrom
6.241 0.000 0.000
0.000 7.135 -0.877
0.000 -2.659 6.679
ATOMIC_POSITIONS crystal
Sc 0.750 0.092 0.908
Sc 0.750 0.127 0.433
Sc 0.250 0.433 0.127
Sc 0.750 0.567 0.873
Sc 0.250 0.873 0.567
Sc 0.250 0.908 0.092
As 0.250 0.279 0.721
As 0.750 0.721 0.279
S 0.000 0.233 0.233
S 0.500 0.233 0.233
S 0.000 0.767 0.767
S 0.500 0.767 0.767

Entry 3:
! Sc6As5S (PBE, optimized geometry); values from VASP
! D(E_F)	0.2147	states/eV per atom
&SYSTEM
  ibrav = 0, nat = 12, ntyp = 3
/
ATOMIC_SPECIES
Sc 44.96 Sc.upf
As 74.92 As.upf
S 32.06 S.upf
CELL_PARAMETERS angstrom
-1.355 -5.832 2.939
1.679 0.317 6.448
-4.462 2.039 4.512
ATOMIC_POSITIONS crystal
Sc 0.751 0.083 0.332
Sc 0.249 0.585 0.332
Sc 0.251 0.248 0.000
Sc 0.749 0.752 0.000
Sc 0.751 0.415 0.668
Sc 0.249 0.917 0.668
As 0.500 0.167 0.665
As 0.000 0.333 0.333
As 0.500 0.500 0.000
As 0.000 0.667 0.667
As 0.500 0.833 0.335
S 0.000 0.000 0.000

Entry 4:
First-principles (PBE) data for Sc3AsS6 after structural relaxation, as listed in Alexandria via LeMat-Bulk. Values from VASP.

Quantum ESPRESSO input file:
```
&SYSTEM
  ibrav = 0, nat = 20, ntyp = 3
/
ATOMIC_SPECIES
Sc 44.96 Sc.upf
As 74.92 As.upf
S 32.06 S.upf
CELL_PARAMETERS angstrom
6.391 0.000 0.000
0.000 8.096 -0.013
0.000 -1.820 7.889
ATOMIC_POSITIONS crystal
Sc 0.483 0.917 0.716
Sc 0.983 0.716 0.917
Sc 0.383 0.406 0.594
Sc 0.883 0.594 0.406
Sc 0.983 0.083 0.284
Sc 0.483 0.284 0.083
As 0.006 0.180 0.820
As 0.506 0.820 0.180
S 0.178 0.697 0.635
S 0.678 0.635 0.697
S 0.195 0.432 0.898
S 0.695 0.898 0.432
S 0.259 0.014 0.986
S 0.627 0.231 0.769
S 0.127 0.769 0.231
S 0.759 0.986 0.014
S 0.195 0.102 0.568
S 0.695 0.568 0.102
S 0.178 0.365 0.303
S 0.678 0.303 0.365
```

Entry 5:
! Sc2AsS (PBE, optimized geometry); values from VASP
! ΔE to the lowest computed polymorph	0.102	eV per atom
! D(E_F)	0.8198	states/eV per atom
&SYSTEM
  ibrav = 0, nat = 4, ntyp = 3
/
ATOMIC_SPECIES
Sc 44.96 Sc.upf
As 74.92 As.upf
S 32.06 S.upf
CELL_PARAMETERS angstrom
-0.619 3.084 -1.999
-0.499 -0.237 -3.686
-6.811 0.251 -0.979
ATOMIC_POSITIONS crystal
Sc 0.081 0.081 0.758
Sc 0.253 0.253 0.241
As 0.668 0.668 0.995
S 0.498 0.498 0.505

Entry 6:
! Sc2AsS (PBE, optimized geometry); values from VASP
! ΔE to the lowest computed polymorph	0.539	eV per atom
! D(E_F)	0.9054	states/eV per atom
&SYSTEM
  ibrav = 0, nat = 4, ntyp = 3
/
ATOMIC_SPECIES
Sc 44.96 Sc.upf
As 74.92 As.upf
S 32.06 S.upf
CELL_PARAMETERS angstrom
0.949 5.833 4.981
4.244 5.934 2.550
0.716 7.587 1.287
ATOMIC_POSITIONS crystal
Sc 0.894 0.894 0.894
Sc 0.106 0.106 0.106
As 0.500 0.500 0.500
S 0.000 0.000 0.000

Entry 7:
! ScAsS2 (PBE, optimized geometry); values from VASP
! D(E_F)	0.3763	states/eV per atom
&SYSTEM
  ibrav = 0, nat = 8, ntyp = 3
/
ATOMIC_SPECIES
Sc 44.96 Sc.upf
As 74.92 As.upf
S 32.06 S.upf
CELL_PARAMETERS angstrom
-4.751 -0.315 -1.459
-1.277 -1.659 4.518
-4.168 6.019 3.777
ATOMIC_POSITIONS crystal
Sc 0.500 0.500 0.000
Sc 0.250 0.750 0.500
As 0.000 0.000 0.000
As 0.750 0.250 0.500
S 0.617 0.125 0.250
S 0.133 0.625 0.250
S 0.375 0.383 0.750
S 0.875 0.867 0.750

Entry 8:
! Sc2AsS (PBE, optimized geometry); values from VASP
! ΔE to the lowest computed polymorph	0.000	eV per atom
! D(E_F)	0.4147	states/eV per atom
&SYSTEM
  ibrav = 0, nat = 4, ntyp = 3
/
ATOMIC_SPECIES
Sc 44.96 Sc.upf
As 74.92 As.upf
S 32.06 S.upf
CELL_PARAMETERS angstrom
-2.161 1.139 -2.898
-0.271 -2.138 -3.118
-5.655 -3.292 0.457
ATOMIC_POSITIONS crystal
Sc 0.251 0.251 0.247
Sc 0.749 0.749 0.753
As 0.500 0.500 0.500
S 0.000 0.000 0.000

Entry 9:
! ScAsS2 (PBE, optimized geometry); values from VASP
! D(E_F)	0.2194	states/eV per atom
&SYSTEM
  ibrav = 0, nat = 4, ntyp = 3
/
ATOMIC_SPECIES
Sc 44.96 Sc.upf
As 74.92 As.upf
S 32.06 S.upf
CELL_PARAMETERS angstrom
-5.400 5.326 3.195
-2.240 6.925 3.842
-3.805 7.271 0.618
ATOMIC_POSITIONS crystal
Sc 0.500 0.500 0.500
As 0.000 0.000 0.000
S 0.895 0.895 0.895
S 0.105 0.105 0.105

Entry 10:
! Sc5AsS4 (PBE, optimized geometry); values from VASP
! D(E_F)	0.4150	states/eV per atom
&SYSTEM
  ibrav = 0, nat = 10, ntyp = 3
/
ATOMIC_SPECIES
Sc 44.96 Sc.upf
As 74.92 As.upf
S 32.06 S.upf
CELL_PARAMETERS angstrom
-2.829 -2.351 -0.625
1.627 -0.637 -4.969
5.963 -5.670 5.470
ATOMIC_POSITIONS crystal
Sc 0.603 0.103 0.206
Sc 0.800 0.300 0.600
Sc 0.200 0.700 0.400
Sc 0.000 0.500 0.000
Sc 0.397 0.897 0.794
As 0.000 0.000 0.000
S 0.399 0.399 0.798
S 0.798 0.798 0.596
S 0.202 0.202 0.404
S 0.601 0.601 0.202

Entry 11:
! Sc8As3SeS4 (PBE, optimized geometry); values from VASP
! D(E_F)	0.3978	states/eV per atom
&SYSTEM
  ibrav = 0, nat = 16, ntyp = 4
/
ATOMIC_SPECIES
Sc 44.96 Sc.upf
As 74.92 As.upf
Se 78.96 Se.upf
S 32.06 S.upf
CELL_PARAMETERS angstrom
-6.449 -3.835 1.039
2.560 -5.524 -4.498
4.090 2.223 5.977
ATOMIC_POSITIONS crystal
Sc 0.258 0.760 0.003
Sc 0.258 0.760 0.515
Sc 0.249 0.247 0.498
Sc 0.745 0.760 0.003
Sc 0.255 0.240 0.997
Sc 0.751 0.753 0.502
Sc 0.742 0.240 0.485
Sc 0.742 0.240 0.997
As 0.500 0.500 0.000
As 0.500 0.500 0.500
As 0.000 0.500 0.500
Se 0.000 0.500 0.000
S 0.500 0.000 0.000
S 0.500 0.000 0.500
S 0.000 0.000 0.000
S 0.000 0.000 0.500

Entry 12:
! Sc6AsSe2S3 (PBE, optimized geometry); values from VASP
! D(E_F)	0.4815	states/eV per atom
&SYSTEM
  ibrav = 0, nat = 12, ntyp = 4
/
ATOMIC_SPECIES
Sc 44.96 Sc.upf
As 74.92 As.upf
Se 78.96 Se.upf
S 32.06 S.upf
CELL_PARAMETERS angstrom
6.538 -0.005 0.001
-3.272 5.661 0.001
-1.089 -1.885 6.211
ATOMIC_POSITIONS crystal
Sc 0.910 0.586 0.729
Sc 0.768 0.768 0.271
Sc 0.090 0.414 0.271
Sc 0.586 0.910 0.729
Sc 0.232 0.232 0.729
Sc 0.414 0.090 0.271
As 0.000 0.000 0.000
Se 0.334 0.666 0.000
Se 0.666 0.334 0.000
S 0.170 0.830 0.500
S 0.830 0.170 0.500
S 0.500 0.500 0.500

Entry 13:
! Sc8As3Se4S (PBE, optimized geometry); values from VASP
! D(E_F)	0.4356	states/eV per atom
&SYSTEM
  ibrav = 0, nat = 16, ntyp = 4
/
ATOMIC_SPECIES
Sc 44.96 Sc.upf
As 74.92 As.upf
Se 78.96 Se.upf
S 32.06 S.upf
CELL_PARAMETERS angstrom
7.691 0.000 0.000
0.000 7.740 0.029
-3.846 -3.842 5.442
ATOMIC_POSITIONS crystal
Sc 0.242 0.732 0.991
Sc 0.242 0.732 0.484
Sc 0.254 0.263 0.509
Sc 0.749 0.732 0.991
Sc 0.251 0.268 0.009
Sc 0.746 0.737 0.491
Sc 0.758 0.268 0.516
Sc 0.758 0.268 0.009
As 0.500 0.500 0.000
As 0.500 0.500 0.500
As 0.000 0.500 0.500
Se 0.500 0.000 0.000
Se 0.500 0.000 0.500
Se 0.000 0.000 0.000
Se 0.000 0.000 0.500
S 0.000 0.500 0.000

Entry 14:
! Sc4As2SeS (PBE, optimized geometry); values from VASP
! D(E_F)	0.5045	states/eV per atom
&SYSTEM
  ibrav = 0, nat = 8, ntyp = 4
/
ATOMIC_SPECIES
Sc 44.96 Sc.upf
As 74.92 As.upf
Se 78.96 Se.upf
S 32.06 S.upf
CELL_PARAMETERS angstrom
-3.561 -1.422 0.031
2.167 -5.494 -3.051
1.832 -4.488 4.550
ATOMIC_POSITIONS crystal
Sc 0.000 0.753 0.755
Sc 0.000 0.247 0.245
Sc 0.500 0.757 0.241
Sc 0.500 0.243 0.759
As 0.000 0.000 0.000
As 0.500 0.000 0.500
Se 0.000 0.500 0.500
S 0.500 0.500 0.000

Entry 15:
! Sc6AsSe3S2 (PBE, optimized geometry); values from VASP
! D(E_F)	0.4883	states/eV per atom
&SYSTEM
  ibrav = 0, nat = 12, ntyp = 4
/
ATOMIC_SPECIES
Sc 44.96 Sc.upf
As 74.92 As.upf
Se 78.96 Se.upf
S 32.06 S.upf
CELL_PARAMETERS angstrom
-2.533 -1.585 -5.860
6.399 -0.955 1.187
-2.546 -4.956 3.671
ATOMIC_POSITIONS crystal
Sc 0.924 0.583 0.774
Sc 0.733 0.733 0.225
Sc 0.076 0.417 0.226
Sc 0.583 0.924 0.774
Sc 0.267 0.267 0.775
Sc 0.417 0.076 0.226
As 0.000 0.000 0.000
Se 0.165 0.835 0.500
Se 0.835 0.165 0.500
Se 0.500 0.500 0.500
S 0.333 0.667 0.000
S 0.667 0.333 0.000

Entry 16:
! Sc8AsSe4S3 (PBE, optimized geometry); values from VASP
! D(E_F)	0.4400	states/eV per atom
&SYSTEM
  ibrav = 0, nat = 16, ntyp = 4
/
ATOMIC_SPECIES
Sc 44.96 Sc.upf
As 74.92 As.upf
Se 78.96 Se.upf
S 32.06 S.upf
CELL_PARAMETERS angstrom
-6.403 -0.108 -4.073
2.150 -6.609 -3.203
-0.321 0.589 7.559
ATOMIC_POSITIONS crystal
Sc 0.246 0.725 0.980
Sc 0.245 0.725 0.491
Sc 0.260 0.281 0.521
Sc 0.734 0.725 0.980
Sc 0.266 0.275 0.020
Sc 0.740 0.719 0.479
Sc 0.755 0.275 0.509
Sc 0.754 0.275 0.020
As 0.000 0.500 0.000
Se 0.500 0.000 0.000
Se 0.500 0.000 0.500
Se 0.000 0.000 0.000
Se 0.000 0.000 0.500
S 0.500 0.500 0.000
S 0.500 0.500 0.500
S 0.000 0.500 0.500

Entry 17:
! Sc8AsSe3S4 (PBE, optimized geometry); values from VASP
! D(E_F)	0.4373	states/eV per atom
&SYSTEM
  ibrav = 0, nat = 16, ntyp = 4
/
ATOMIC_SPECIES
Sc 44.96 Sc.upf
As 74.92 As.upf
Se 78.96 Se.upf
S 32.06 S.upf
CELL_PARAMETERS angstrom
7.551 0.000 0.000
0.000 7.588 0.022
-3.776 -3.772 5.342
ATOMIC_POSITIONS crystal
Sc 0.252 0.771 0.019
Sc 0.252 0.771 0.503
Sc 0.240 0.219 0.479
Sc 0.768 0.771 0.019
Sc 0.232 0.229 0.981
Sc 0.760 0.781 0.521
Sc 0.748 0.229 0.497
Sc 0.748 0.229 0.981
As 0.000 0.500 0.000
Se 0.500 0.500 0.000
Se 0.500 0.500 0.500
Se 0.000 0.500 0.500
S 0.500 0.000 0.000
S 0.500 0.000 0.500
S 0.000 0.000 0.000
S 0.000 0.000 0.500

Entry 18:
! Sc6As2Se3S (PBE, optimized geometry); values from VASP
! D(E_F)	0.4150	states/eV per atom
&SYSTEM
  ibrav = 0, nat = 12, ntyp = 4
/
ATOMIC_SPECIES
Sc 44.96 Sc.upf
As 74.92 As.upf
Se 78.96 Se.upf
S 32.06 S.upf
CELL_PARAMETERS angstrom
3.835 0.000 0.000
0.000 7.717 0.232
-1.917 -2.269 8.113
ATOMIC_POSITIONS crystal
Sc 0.342 0.914 0.684
Sc 0.669 0.575 0.337
Sc 0.658 0.086 0.316
Sc 0.003 0.230 0.005
Sc 0.997 0.770 0.995
Sc 0.331 0.425 0.663
As 0.833 0.668 0.667
As 0.167 0.332 0.333
Se 0.500 0.500 0.000
Se 0.832 0.166 0.665
Se 0.168 0.834 0.335
S 0.500 0.000 0.000

Entry 19:
! Sc4AsSe2S (PBE, optimized geometry); values from VASP
! D(E_F)	0.4868	states/eV per atom
&SYSTEM
  ibrav = 0, nat = 8, ntyp = 4
/
ATOMIC_SPECIES
Sc 44.96 Sc.upf
As 74.92 As.upf
Se 78.96 Se.upf
S 32.06 S.upf
CELL_PARAMETERS angstrom
-1.935 -3.200 0.761
4.620 -1.716 4.530
-1.724 2.444 5.895
ATOMIC_POSITIONS crystal
Sc 0.000 0.726 0.764
Sc 0.000 0.274 0.236
Sc 0.500 0.731 0.250
Sc 0.500 0.269 0.750
As 0.000 0.500 0.500
Se 0.000 0.000 0.000
Se 0.500 0.000 0.500
S 0.500 0.500 0.000

Entry 20:
! Sc6SiAs2S3 (PBE, optimized geometry); values from VASP
! D(E_F)	0.3436	states/eV per atom
&SYSTEM
  ibrav = 0, nat = 12, ntyp = 4
/
ATOMIC_SPECIES
Sc 44.96 Sc.upf
Si 28.09 Si.upf
As 74.92 As.upf
S 32.06 S.upf
CELL_PARAMETERS angstrom
3.784 0.000 0.000
0.000 7.587 0.262
-1.892 -2.198 7.973
ATOMIC_POSITIONS crystal
Sc 0.335 0.921 0.671
Sc 0.666 0.584 0.333
Sc 0.665 0.079 0.329
Sc 0.999 0.247 0.997
Sc 0.001 0.753 0.003
Sc 0.334 0.416 0.667
Si 0.500 0.000 0.000
As 0.833 0.667 0.667
As 0.167 0.333 0.333
S 0.500 0.500 0.000
S 0.832 0.168 0.664
S 0.168 0.832 0.336

Energy: -6.327 -6.350 -6.931 -6.182 -6.900 -6.463 -5.340 -7.002 -5.763 -7.063 -6.960 -6.884 -6.759 -6.864 -6.793 -6.799 -6.868 -6.766 -6.777 -6.952 (eV per atom)